A plane-wave DFT calculation with GGA-PBE was carried out for Pu2GePd after structural relaxation.

Structure (POSCAR):
```
Pu2GePd
1.0
3.836 0.000 0.000
0.000 3.836 0.000
0.000 0.000 5.760
Pu Ge Pd
2 1 1
Direct
0.500 0.500 0.255
0.500 0.500 0.745
0.000 0.000 0.500
0.000 0.000 0.000
```

Values from the calculation:
The value obtained for the electronic total energy is -40.358 eV/cell. Its magnetic moment is 10.8 μB/cell.